1.
Below is crystalline PrTh2Te3 at its relaxed geometry, with properties calculated at the GGA-PBE level.

```
PrTh2Te3
1.0
3.865 0.000 0.000
0.000 3.865 0.000
0.000 0.000 11.606
Pr Th Te
1 2 3
direct
0.500 0.500 0.500
0.500 0.500 0.833
0.500 0.500 0.167
0.000 0.000 0.000
0.000 0.000 0.671
0.000 0.000 0.329
```

Properties
density: 9.5 g/cm³
M_tot: 0.000 μB per atom
raw formation energy: -1.18 eV per atom

2.
Below is crystalline BeSi2W at its relaxed geometry, with properties calculated at the GGA-PBE level.

```
BeSi2W
1.0
4.657 0.017 0.051
-2.500 4.419 -0.013
-0.343 0.879 2.660
Be Si W
1 2 1
direct
0.500 0.500 0.000
0.000 0.000 0.000
0.500 0.000 0.500
0.000 0.500 0.500
```

Properties
density: 7.5 g/cm³
M_tot: 0.000 μB per atom
raw formation energy: 0.29 eV per atom

Q: What is the raw formation energy in the second record?
A: 0.29 eV per atom

Repeat the second record exactly.
Below is crystalline BeSi2W at its relaxed geometry, with properties calculated at the GGA-PBE level.

```
BeSi2W
1.0
4.657 0.017 0.051
-2.500 4.419 -0.013
-0.343 0.879 2.660
Be Si W
1 2 1
direct
0.500 0.500 0.000
0.000 0.000 0.000
0.500 0.000 0.500
0.000 0.500 0.500
```

Properties
density: 7.5 g/cm³
M_tot: 0.000 μB per atom
raw formation energy: 0.29 eV per atom